Entry 1:
The following is a DFT calculation (PBE-GGA) of a relaxed structure of SbSe7.

Cell and atoms, written as CIF:
```
data_SbSe7
_cell_length_a 8.791
_cell_length_b 8.791
_cell_length_c 8.791
_cell_angle_alpha 90.00
_cell_angle_beta 90.00
_cell_angle_gamma 90.00
_space_group_name_H-M_alt 'F m -3 m'
_space_group_IT_number 225
_space_group_name_Hall '-F 4 2 3'
loop_
_atom_site_label
_atom_site_type_symbol
_atom_site_fract_x
_atom_site_fract_y
_atom_site_fract_z
Sb1 Sb 0.000 0.000 0.000
Se1 Se 0.000 0.000 0.500
Se2 Se 0.000 0.250 0.250
```

Computed properties:
formation energy from raw total energies	0.587	eV/atom
N(E_F)	0.541	states/eV per atom
uncorrected energy	-2.978	eV/atom
spin magnetization	0.0	μB per formula unit
ρ	6.59	g/cm3

***

Entry 2:
The following is a DFT calculation (PBE-GGA) of a relaxed structure of KIn7Ag12.

Cell and atoms, written as CIF:
```
data_KIn7Ag12
_cell_length_a 14.4732
_cell_length_b 14.4732
_cell_length_c 7.3436
_cell_angle_alpha 90.00
_cell_angle_beta 90.00
_cell_angle_gamma 120.00
_space_group_name_H-M_alt 'R -3 m'
_space_group_IT_number 166
_space_group_name_Hall '-R 3 2"'
loop_
_atom_site_label
_atom_site_type_symbol
_atom_site_fract_x
_atom_site_fract_y
_atom_site_fract_z
K1 K 0.0000 0.0000 0.0000
In1 In 0.0000 0.0000 0.5000
In2 In 0.1023 0.5511 0.3503
Ag1 Ag 0.0000 0.2701 0.0000
Ag2 Ag 0.1065 0.5532 0.9425
```

Computed properties:
N(E_F)	0.321	states/eV per atom
uncorrected energy	-2.680	eV/atom
calculated formation energy	0.044	eV/atom
spin magnetization	0.0	μB per formula unit
ρ	7.99	g/cm3

***

Entry 3:
The following is a DFT calculation (PBE-GGA) of a relaxed structure of K2DySnSe4.

Cell and atoms, written as CIF:
```
data_K2DySnSe4
_cell_length_a 7.363
_cell_length_b 4.186
_cell_length_c 8.061
_cell_angle_alpha 90.00
_cell_angle_beta 107.24
_cell_angle_gamma 90.00
_space_group_name_H-M_alt 'P 1 2/m 1'
_space_group_IT_number 10
loop_
_space_group_symop_operation_xyz
'x,y,z'
'-x,-y,-z'
'-x,y,-z'
'x,-y,z'
loop_
_atom_site_label
_atom_site_type_symbol
_atom_site_fract_x
_atom_site_fract_y
_atom_site_fract_z
K1 K 0.000 0.000 0.000
K2 K 0.500 0.500 0.000
Dy1 Dy 0.000 0.500 0.500
Sn1 Sn 0.500 0.000 0.500
Se1 Se 0.234 0.000 0.704
Se2 Se 0.263 0.500 0.296
```

Computed properties:
formation energy from raw total energies	-1.239	eV/atom
N(E_F)	0.364	states/eV per atom
uncorrected energy	-4.332	eV/atom
spin magnetization	0.0	μB per formula unit
ρ	4.73	g/cm3

***

Entry 4:
The following is a DFT calculation (PBE-GGA) of a relaxed structure of HoEr3Ir2.

Cell and atoms, written as CIF:
```
data_HoEr3Ir2
_cell_length_a 4.574
_cell_length_b 8.706
_cell_length_c 7.186
_cell_angle_alpha 90.00
_cell_angle_beta 90.00
_cell_angle_gamma 90.00
_space_group_name_H-M_alt 'P m c 21'
_space_group_IT_number 26
loop_
_space_group_symop_operation_xyz
'x,y,z'
'-x,-y,z+1/2'
'-x,y,z'
'x,-y,z+1/2'
loop_
_atom_site_label
_atom_site_type_symbol
_atom_site_fract_x
_atom_site_fract_y
_atom_site_fract_z
Ho1 Ho 0.000 0.087 0.000
Er1 Er 0.000 0.330 0.632
Er2 Er 0.500 0.171 0.348
Er3 Er 0.500 0.413 0.980
Ir1 Ir 0.000 0.345 0.234
Ir2 Ir 0.500 0.156 0.746
```

Computed properties:
N(E_F)	0.952	states/eV per atom
uncorrected energy	-6.762	eV/atom
calculated formation energy	-0.764	eV/atom
spin magnetization	0.0	μB per formula unit
ρ	12.20	g/cm3

***

Entry 5:
The following is a DFT calculation (PBE-GGA) of a relaxed structure of MgBeAu2.

Cell and atoms, written as CIF:
```
data_MgBeAu2
_cell_length_a 2.991
_cell_length_b 3.045
_cell_length_c 6.790
_cell_angle_alpha 90.00
_cell_angle_beta 90.17
_cell_angle_gamma 90.00
_space_group_name_H-M_alt 'P 1 2/m 1'
_space_group_IT_number 10
loop_
_space_group_symop_operation_xyz
'x,y,z'
'-x,-y,-z'
'-x,y,-z'
'x,-y,z'
loop_
_atom_site_label
_atom_site_type_symbol
_atom_site_fract_x
_atom_site_fract_y
_atom_site_fract_z
Mg1 Mg 0.000 0.000 0.000
Be1 Be 0.000 0.000 0.500
Au1 Au 0.500 0.500 0.289
```

Computed properties:
N(E_F)	0.279	states/eV per atom
uncorrected energy	-3.312	eV/atom
calculated formation energy	-0.343	eV/atom
spin magnetization	0.0	μB per formula unit
ρ	11.47	g/cm3

***

Entry 6:
The following is a DFT calculation (PBE-GGA) of a relaxed structure of TaBiO2.

Cell and atoms, written as CIF:
```
data_TaBiO2
_cell_length_a 6.193
_cell_length_b 6.193
_cell_length_c 8.750
_cell_angle_alpha 90.00
_cell_angle_beta 90.00
_cell_angle_gamma 90.00
_space_group_name_H-M_alt 'I 41/a m d'
_space_group_IT_number 141
loop_
_space_group_symop_operation_xyz
'x,y,z'
'-x,-y,-z'
'-y+1/4,x+3/4,z+1/4'
'y+1/4,-x+3/4,-z+1/4'
'-x+1/2,-y,z+1/2'
'x+1/2,y,-z+1/2'
'y+1/4,-x+1/4,z+3/4'
'-y+1/4,x+1/4,-z+3/4'
'x,-y,-z'
'-x,y,z'
'-y+1/4,-x+1/4,-z+3/4'
'y+1/4,x+1/4,z+3/4'
'-x+1/2,y,-z+1/2'
'x+1/2,-y,z+1/2'
'y+1/4,x+3/4,-z+1/4'
'-y+1/4,-x+3/4,z+1/4'
'x+1/2,y+1/2,z+1/2'
'-x+1/2,-y+1/2,-z+1/2'
'-y+3/4,x+1/4,z+3/4'
'y+3/4,-x+1/4,-z+3/4'
'-x,-y+1/2,z'
'x,y+1/2,-z'
'y+3/4,-x+3/4,z+1/4'
'-y+3/4,x+3/4,-z+1/4'
'x+1/2,-y+1/2,-z+1/2'
'-x+1/2,y+1/2,z+1/2'
'-y+3/4,-x+3/4,-z+1/4'
'y+3/4,x+3/4,z+1/4'
'-x,y+1/2,-z'
'x,-y+1/2,z'
'y+3/4,x+1/4,-z+3/4'
'-y+3/4,-x+1/4,z+3/4'
loop_
_atom_site_label
_atom_site_type_symbol
_atom_site_fract_x
_atom_site_fract_y
_atom_site_fract_z
Ta1 Ta 0.000 0.250 0.375
Bi1 Bi 0.000 0.250 0.875
O1 O 0.000 0.000 0.500
```

Computed properties:
formation energy from raw total energies	-1.488	eV/atom
N(E_F)	0.958	states/eV per atom
uncorrected energy	-7.901	eV/atom
spin magnetization	0.0	μB per formula unit
ρ	8.35	g/cm3

***

Entry 7:
The following is a DFT calculation (PBE-GGA) of a relaxed structure of Zr4BiMo.

Cell and atoms, written as CIF:
```
data_Zr4BiMo
_cell_length_a 4.581
_cell_length_b 7.895
_cell_length_c 8.432
_cell_angle_alpha 98.97
_cell_angle_beta 105.73
_cell_angle_gamma 90.19
_space_group_name_H-M_alt 'P -1'
_space_group_IT_number 2
loop_
_space_group_symop_operation_xyz
'x,y,z'
'-x,-y,-z'
loop_
_atom_site_label
_atom_site_type_symbol
_atom_site_fract_x
_atom_site_fract_y
_atom_site_fract_z
Zr1 Zr 0.053 0.185 0.106
Zr2 Zr 0.160 0.886 0.319
Zr3 Zr 0.341 0.615 0.683
Zr4 Zr 0.447 0.315 0.893
Bi1 Bi 0.250 0.251 0.500
Mo1 Mo 0.000 0.500 0.000
Mo2 Mo 0.500 0.000 0.000
```

Computed properties:
N(E_F)	0.975	states/eV per atom
uncorrected energy	-7.987	eV/atom
calculated formation energy	0.164	eV/atom
spin magnetization	0.0	μB per formula unit
ρ	7.68	g/cm3

***

Entry 8:
The following is a DFT calculation (PBE-GGA) of a relaxed structure of KSr2Ag2.

Cell and atoms, written as CIF:
```
data_KSr2Ag2
_cell_length_a 5.882
_cell_length_b 5.882
_cell_length_c 12.947
_cell_angle_alpha 90.00
_cell_angle_beta 90.00
_cell_angle_gamma 90.00
_space_group_name_H-M_alt 'I 4/m m m'
_space_group_IT_number 139
_space_group_name_Hall '-I 4 2'
loop_
_atom_site_label
_atom_site_type_symbol
_atom_site_fract_x
_atom_site_fract_y
_atom_site_fract_z
K1 K 0.000 0.000 0.000
Sr1 Sr 0.000 0.000 0.339
Ag1 Ag 0.000 0.500 0.250
```

Computed properties:
N(E_F)	0.674	states/eV per atom
uncorrected energy	-1.989	eV/atom
calculated formation energy	0.043	eV/atom
spin magnetization	0.0	μB per formula unit
ρ	3.19	g/cm3

***

Entry 9:
The following is a DFT calculation (PBE-GGA) of a relaxed structure of Nb2VCo2Ru5.

Cell and atoms, written as CIF:
```
data_Nb2VCo2Ru5
_cell_length_a 8.665
_cell_length_b 8.665
_cell_length_c 3.837
_cell_angle_alpha 90.00
_cell_angle_beta 90.00
_cell_angle_gamma 90.00
_space_group_name_H-M_alt 'P 4/m b m'
_space_group_IT_number 127
_space_group_name_Hall '-P 4 2ab'
loop_
_atom_site_label
_atom_site_type_symbol
_atom_site_fract_x
_atom_site_fract_y
_atom_site_fract_z
Nb1 Nb 0.164 0.336 0.000
V1 V 0.000 0.000 0.000
Co1 Co 0.131 0.631 0.000
Ru1 Ru 0.000 0.500 0.500
Ru2 Ru 0.073 0.802 0.500
```

Computed properties:
N(E_F)	1.223	states/eV per atom
uncorrected energy	-9.004	eV/atom
calculated formation energy	-0.019	eV/atom
spin magnetization	0.0	μB per formula unit
ρ	9.91	g/cm3

***

Entry 10:
The following is a DFT calculation (PBE-GGA) of a relaxed structure of YPt3Au.

Cell and atoms, written as CIF:
```
data_YPt3Au
_cell_length_a 4.946
_cell_length_b 4.946
_cell_length_c 4.946
_cell_angle_alpha 90.00
_cell_angle_beta 90.00
_cell_angle_gamma 90.00
_space_group_name_H-M_alt 'P m -3 m'
_space_group_IT_number 221
_space_group_name_Hall '-P 4 2 3'
loop_
_atom_site_label
_atom_site_type_symbol
_atom_site_fract_x
_atom_site_fract_y
_atom_site_fract_z
Y1 Y 0.000 0.000 0.000
Pt1 Pt 0.000 0.500 0.500
Au1 Au 0.500 0.500 0.500
```

Computed properties:
N(E_F)	0.518	states/eV per atom
uncorrected energy	-5.161	eV/atom
calculated formation energy	0.411	eV/atom
spin magnetization	0.0	μB per formula unit
ρ	11.95	g/cm3

***

Entry 11:
The following is a DFT calculation (PBE-GGA) of a relaxed structure of Be2MoAs.

Cell and atoms, written as CIF:
```
data_Be2MoAs
_cell_length_a 2.687
_cell_length_b 3.997
_cell_length_c 4.685
_cell_angle_alpha 90.00
_cell_angle_beta 90.16
_cell_angle_gamma 90.00
_space_group_name_H-M_alt 'P 1 m 1'
_space_group_IT_number 6
loop_
_space_group_symop_operation_xyz
'x,y,z'
'x,-y,z'
loop_
_atom_site_label
_atom_site_type_symbol
_atom_site_fract_x
_atom_site_fract_y
_atom_site_fract_z
Be1 Be 0.000 0.000 0.000
Be2 Be 0.010 0.500 0.224
Mo1 Mo 0.509 0.000 0.458
As1 As 0.008 0.500 0.725
```

Computed properties:
N(E_F)	0.366	states/eV per atom
uncorrected energy	-5.601	eV/atom
calculated formation energy	0.132	eV/atom
spin magnetization	0.0	μB per formula unit
ρ	6.23	g/cm3

***

Entry 12:
The following is a DFT calculation (PBE-GGA) of a relaxed structure of Tl12Te6I.

Cell and atoms, written as CIF:
```
data_Tl12Te6I
_cell_length_a 15.0895
_cell_length_b 15.0895
_cell_length_c 12.9691
_cell_angle_alpha 90.00
_cell_angle_beta 90.00
_cell_angle_gamma 120.00
_space_group_name_H-M_alt 'R -3'
_space_group_IT_number 148
_space_group_name_Hall '-R 3'
loop_
_atom_site_label
_atom_site_type_symbol
_atom_site_fract_x
_atom_site_fract_y
_atom_site_fract_z
Tl1 Tl 0.0384 0.8145 0.3977
Tl2 Tl 0.0542 0.8169 0.9055
Te1 Te 0.0430 0.7876 0.6504
I1 I 0.0000 0.0000 0.0000
```

Computed properties:
formation energy from raw total energies	-0.273	eV/atom
N(E_F)	0.224	states/eV per atom
uncorrected energy	-2.841	eV/atom
spin magnetization	0.0	μB per formula unit
ρ	6.52	g/cm3